Entry 1:
## La2InPd2 (SCAN)

Data for a crystal of La2InPd2 relaxed with PBEsol.

```
data_La2InPd2
_chemical_formula_sum 'La4 In2 Pd4'
_cell_length_a 3.819
_cell_length_b 3.819
_cell_length_c 17.453
_cell_angle_alpha 90.00
_cell_angle_beta 90.00
_cell_angle_gamma 90.00
_symmetry_space_group_name_H-M 'I 4/m m m'
_symmetry_Int_Tables_number 139
_symmetry_space_group_name_Hall '-I 4 2'
loop_
_atom_site_label
_atom_site_fract_x
_atom_site_fract_y
_atom_site_fract_z
La1 0.000 0.000 0.122
In1 0.000 0.000 0.500
Pd1 0.000 0.500 0.250
```

---

Entry 2:
## LaInSnPd2 (SCAN)

Data for a crystal of LaInSnPd2 relaxed with PBEsol.

```
data_LaInSnPd2
_chemical_formula_sum 'La1 In1 Sn1 Pd2'
_cell_length_a 4.948
_cell_length_b 4.948
_cell_length_c 5.813
_cell_angle_alpha 90.00
_cell_angle_beta 90.00
_cell_angle_gamma 90.00
_symmetry_space_group_name_H-M 'P 4/m m m'
_symmetry_Int_Tables_number 123
_symmetry_space_group_name_Hall '-P 4 2'
loop_
_atom_site_label
_atom_site_fract_x
_atom_site_fract_y
_atom_site_fract_z
La1 0.000 0.000 0.000
In1 0.500 0.500 0.000
Sn1 0.000 0.000 0.500
Pd1 0.000 0.500 0.500
```

---

Entry 3:
## LaPrIn2 (SCAN)

Data for a crystal of LaPrIn2 relaxed with PBEsol.

```
data_LaPrIn2
_chemical_formula_sum 'La4 Pr4 In8'
_cell_length_a 7.730
_cell_length_b 7.730
_cell_length_c 7.730
_cell_angle_alpha 90.00
_cell_angle_beta 90.00
_cell_angle_gamma 90.00
_symmetry_space_group_name_H-M 'F m -3 m'
_symmetry_Int_Tables_number 225
_symmetry_space_group_name_Hall '-F 4 2 3'
loop_
_atom_site_label
_atom_site_fract_x
_atom_site_fract_y
_atom_site_fract_z
La1 0.000 0.000 0.000
Pr1 0.000 0.000 0.500
In1 0.250 0.250 0.250
```

---

Calculated values (eV for the cell shown) of raw total energy for the records, taken in order: -376.9, -177.1, -623.5.
Calculated values (states/eV/f.u.) of Fermi-level density of states for the records, taken in order: 3.306, 4.670, 2.017.